Entry 1:
{"formula": "La7Tb2Nd", "functional": "PBE", "state": "optimized geometry", "formation_energy_mev_per_atom": 322, "spacegroup": "Cmmm, No. 65", "lattice_angstrom": [[3.5490, 0.0000, 0.0000], [0.0000, 10.2026, -2.8290], [0.0000, -0.7133, 10.5634]], "species": ["La", "La", "La", "Tb", "La", "Tb", "La", "Nd", "La", "La"], "frac_coords": [[0.5000, 0.3882, 0.1253], [0.5000, 0.5000, 0.5000], [0.0000, 0.6795, 0.3205], [0.5000, 0.1670, 0.8330], [0.5000, 0.6118, 0.8747], [0.5000, 0.8330, 0.1670], [0.5000, 0.8747, 0.6118], [0.0000, 0.0000, 0.0000], [0.0000, 0.3205, 0.6795], [0.5000, 0.1253, 0.3882]]}

Entry 2:
{"formula": "La5TbNd3", "functional": "PBE", "state": "optimized geometry", "formation_energy_mev_per_atom": 255, "spacegroup": "I4/mcm, No. 140", "lattice_angstrom": [[9.0951, 0.0000, 0.0000], [0.0000, 9.0951, 0.0000], [-4.5475, -4.5475, 7.8547]], "species": ["Nd", "Tb", "La", "La", "La", "La", "La", "Tb", "Nd", "Nd", "Nd", "La", "Nd", "La", "La", "La", "La", "Nd"], "frac_coords": [[0.2500, 0.2500, 0.5000], [0.7500, 0.2500, 0.5000], [0.3461, 0.8461, 0.2786], [0.4325, 0.3461, 0.2786], [0.8461, 0.9325, 0.2786], [0.1539, 0.0675, 0.7214], [0.5000, 0.5000, 0.0000], [0.2500, 0.7500, 0.5000], [0.1161, 0.3839, 0.0000], [0.6161, 0.1161, 0.0000], [0.8839, 0.6161, 0.0000], [0.9325, 0.4325, 0.2786], [0.7500, 0.7500, 0.5000], [0.0675, 0.5675, 0.7214], [0.6539, 0.1539, 0.7214], [0.5675, 0.6539, 0.7214], [0.0000, 0.0000, 0.0000], [0.3839, 0.8839, 0.0000]]}

Entry 3:
{"formula": "LaTb12Nd2", "functional": "PBE", "state": "optimized geometry", "formation_energy_mev_per_atom": 103, "spacegroup": "C2/m, No. 12", "lattice_angstrom": [[-4.6112, 3.8588, 2.9451], [-5.7368, -3.0678, 1.5830], [10.0415, -0.6767, 23.0658]], "species": ["Tb", "Tb", "Nd", "Tb", "Tb", "Tb", "Tb", "Tb", "La", "Tb", "Tb", "Tb", "Nd", "Tb", "Tb", "Tb", "Tb", "Tb", "Tb", "Tb", "Tb", "Tb", "Tb", "Tb", "La", "Nd", "Tb", "Tb", "Tb", "Nd"], "frac_coords": [[0.6663, 0.3323, 0.4451], [0.5978, 0.4026, 0.2015], [0.4569, 0.0431, 0.7262], [0.9022, 0.0974, 0.7985], [0.5575, 0.4417, 0.9249], [0.6805, 0.8195, 0.4279], [0.9425, 0.0583, 0.0751], [0.0006, 0.0000, 0.3313], [0.9989, 0.5011, 0.9999], [0.1786, 0.3214, 0.4285], [0.4417, 0.5575, 0.0751], [0.8952, 0.6048, 0.1376], [0.0431, 0.4569, 0.2738], [0.8195, 0.6805, 0.5721], [0.0583, 0.9425, 0.9249], [0.3323, 0.6663, 0.5549], [0.8337, 0.1677, 0.5549], [0.1677, 0.8337, 0.4451], [0.0000, 0.0006, 0.6687], [0.1046, 0.3954, 0.8622], [0.3214, 0.1786, 0.5715], [0.5000, 0.4994, 0.3313], [0.4026, 0.5978, 0.7985], [0.4994, 0.5000, 0.6687], [0.5011, 0.9989, 0.0001], [0.9561, 0.5439, 0.7259], [0.6048, 0.8952, 0.8624], [0.0974, 0.9022, 0.2015], [0.3954, 0.1046, 0.1378], [0.5439, 0.9561, 0.2741]]}

Entry 4:
{"formula": "La3TbNd12", "functional": "PBE", "state": "optimized geometry", "formation_energy_mev_per_atom": 13, "spacegroup": "P4/mmm, No. 123", "lattice_angstrom": [[-1.2285, 3.3323, 3.8176], [-3.0306, -3.6314, 2.1945], [16.2297, -6.8009, 11.1593]], "species": ["Nd", "Tb", "Nd", "Nd", "Nd", "La", "Nd", "Nd", "Nd", "La", "Nd", "Nd", "Nd", "Nd", "Nd", "La"], "frac_coords": [[0.5000, 0.0000, 0.3746], [0.0000, 0.0000, 0.0000], [0.0000, 0.5000, 0.1229], [0.5000, 0.0000, 0.8771], [0.5000, 0.0000, 0.6254], [0.0000, 0.0000, 0.5000], [0.0000, 0.5000, 0.6254], [0.5000, 0.5000, 0.5000], [0.0000, 0.5000, 0.3746], [0.0000, 0.0000, 0.2492], [0.5000, 0.5000, 0.7519], [0.5000, 0.0000, 0.1229], [0.5000, 0.5000, 0.0000], [0.0000, 0.5000, 0.8771], [0.5000, 0.5000, 0.2481], [0.0000, 0.0000, 0.7508]]}

Entry 5:
{"formula": "La4Tb2Nd5", "functional": "PBE", "state": "optimized geometry", "formation_energy_mev_per_atom": 73, "spacegroup": "C2/m, No. 12", "lattice_angstrom": [[-1.4359, -2.5905, 2.0631], [4.8691, -8.3266, -7.0666], [7.8590, 1.7457, 4.5042]], "species": ["La", "Nd", "La", "Tb", "La", "La", "Tb", "Nd", "Nd", "Nd", "Nd"], "frac_coords": [[0.0397, 0.2632, 0.0795], [0.0961, 0.5395, 0.1923], [0.6415, 0.7960, 0.2829], [0.7167, 0.3624, 0.4333], [0.3585, 0.2040, 0.7171], [0.9603, 0.7368, 0.9205], [0.2833, 0.6376, 0.5667], [0.9039, 0.4605, 0.8077], [0.8211, 0.9261, 0.6423], [0.1789, 0.0739, 0.3577], [0.5000, 0.0000, 0.0000]]}

Entry 6:
{"formula": "LaTb6Nd8", "functional": "PBE", "state": "optimized geometry", "formation_energy_mev_per_atom": 124, "spacegroup": "R-3, No. 148", "lattice_angstrom": [[-0.1194, 0.1018, 9.1967], [7.4161, -2.6969, 4.7258], [4.8592, 5.7360, 4.5993]], "species": ["Tb", "Tb", "Nd", "Nd", "Nd", "Tb", "Nd", "Nd", "Nd", "Tb", "La", "Tb", "Nd", "Tb", "Nd"], "frac_coords": [[0.9035, 0.4651, 0.8801], [0.0965, 0.5349, 0.1199], [0.5779, 0.5779, 0.2663], [0.1138, 0.7165, 0.4190], [0.2494, 0.8862, 0.5810], [0.4651, 0.7513, 0.8801], [0.4221, 0.4221, 0.7337], [0.2835, 0.2494, 0.5810], [0.8862, 0.2835, 0.5810], [0.7513, 0.9035, 0.8801], [0.0000, 0.0000, 0.0000], [0.2487, 0.0965, 0.1199], [0.7506, 0.1138, 0.4190], [0.5349, 0.2487, 0.1199], [0.7165, 0.7506, 0.4190]]}

Entry 7:
{"formula": "La4Tb3Nd2", "functional": "PBE", "state": "optimized geometry", "formation_energy_mev_per_atom": 58, "spacegroup": "P3m1, No. 156", "lattice_angstrom": [[3.6568, 0.0000, 0.0000], [-1.8284, 3.1668, 0.0000], [0.0000, 0.0000, 27.5046]], "species": ["Tb", "La", "Tb", "La", "La", "La", "Nd", "Tb", "Nd"], "frac_coords": [[0.0000, 0.0000, 0.3221], [0.0000, 0.0000, 0.5469], [0.0000, 0.0000, 0.9826], [0.0000, 0.0000, 0.7622], [0.6667, 0.3333, 0.4303], [0.6667, 0.3333, 0.2167], [0.6667, 0.3333, 0.0860], [0.6667, 0.3333, 0.6542], [0.6667, 0.3333, 0.8761]]}

Entry 8:
{"formula": "La2TbNd7", "functional": "PBE", "state": "optimized geometry", "formation_energy_mev_per_atom": 140, "spacegroup": "Cmmm, No. 65", "lattice_angstrom": [[3.5203, 0.0000, 0.0000], [0.0000, 14.4203, -4.8644], [0.0000, -10.8470, 10.6748]], "species": ["Tb", "Nd", "Nd", "Nd", "Nd", "Nd", "La", "La", "Nd", "Nd"], "frac_coords": [[0.0000, 0.0000, 0.0000], [0.5000, 0.3418, 0.1457], [0.5000, 0.8543, 0.6582], [0.0000, 0.8117, 0.1882], [0.5000, 0.5000, 0.5000], [0.0000, 0.1883, 0.8118], [0.5000, 0.7039, 0.2961], [0.5000, 0.2961, 0.7039], [0.5000, 0.6582, 0.8543], [0.5000, 0.1457, 0.3418]]}

Please write out number 6 again, unchanged.
{"formula": "LaTb6Nd8", "functional": "PBE", "state": "optimized geometry", "formation_energy_mev_per_atom": 124, "spacegroup": "R-3, No. 148", "lattice_angstrom": [[-0.1194, 0.1018, 9.1967], [7.4161, -2.6969, 4.7258], [4.8592, 5.7360, 4.5993]], "species": ["Tb", "Tb", "Nd", "Nd", "Nd", "Tb", "Nd", "Nd", "Nd", "Tb", "La", "Tb", "Nd", "Tb", "Nd"], "frac_coords": [[0.9035, 0.4651, 0.8801], [0.0965, 0.5349, 0.1199], [0.5779, 0.5779, 0.2663], [0.1138, 0.7165, 0.4190], [0.2494, 0.8862, 0.5810], [0.4651, 0.7513, 0.8801], [0.4221, 0.4221, 0.7337], [0.2835, 0.2494, 0.5810], [0.8862, 0.2835, 0.5810], [0.7513, 0.9035, 0.8801], [0.0000, 0.0000, 0.0000], [0.2487, 0.0965, 0.1199], [0.7506, 0.1138, 0.4190], [0.5349, 0.2487, 0.1199], [0.7165, 0.7506, 0.4190]]}